Computed, not measured: an optimized crystal structure of FeCuTc2 at the PBE level of DFT.

Magnetization: 1.908 μB per formula unit
Energy of formation from the pure elements: 0.9 eV per formula unit
Space group: C2/m, No. 12

```
data_FeCuTc2
_chemical_formula_sum 'Fe2 Cu2 Tc4'
_symmetry_space_group_name_H-M 'P 1'
_symmetry_Int_Tables_number 1
_symmetry_space_group_name_Hall 'P 1'
_cell_length_a 8.839
_cell_length_b 2.669
_cell_length_c 4.605
_cell_angle_alpha 90.00
_cell_angle_beta 100.80
_cell_angle_gamma 90.00
loop_
_atom_site_label
_atom_site_fract_x
_atom_site_fract_y
_atom_site_fract_z
Fe1 0.000 0.000 0.000
Fe2 0.500 0.500 0.000
Cu1 0.000 0.500 0.500
Cu2 0.500 0.000 0.500
Tc1 0.244 0.500 0.245
Tc2 0.256 0.000 0.755
Tc3 0.744 0.000 0.245
Tc4 0.756 0.500 0.755
```